Record 1
## Pr6ZnSe5 (PBE-GGA)

Data for an optimized crystal structure of Pr6ZnSe5.

Cell lengths 7.418, 7.418, 7.390 Å; angles 99.60, 99.60, 119.83 degrees
Fractional positions:
Pr1 0.082 0.414 0.749
Pr2 0.248 0.248 0.252
Pr3 0.414 0.082 0.749
Pr4 0.586 0.918 0.251
Pr5 0.752 0.752 0.748
Pr6 0.918 0.586 0.251
Zn1 0.000 0.000 0.500
Se1 0.168 0.832 0.000
Se2 0.334 0.666 0.500
Se3 0.500 0.500 0.000
Se4 0.666 0.334 0.500
Se5 0.832 0.168 0.000

SG = C2/m (12)
Uncorrected energy = -66.554 eV for the cell shown
Size of the total moment = 0.00 μB/atom
Formation energy without anion corrections = -1598.4 meV per atom

***

Record 2
## PrZnSe (PBE-GGA)

Data for an optimized crystal structure of PrZnSe.

Cell lengths 8.447, 8.447, 8.447 Å; angles 32.96, 32.96, 32.96 degrees
Fractional positions:
Pr1 0.080 0.080 0.080
Pr2 0.920 0.920 0.920
Zn1 0.330 0.330 0.330
Zn2 0.670 0.670 0.670
Se1 0.215 0.215 0.215
Se2 0.785 0.785 0.785

SG = R-3m (166)
Uncorrected energy = -25.558 eV for the cell shown
Size of the total moment = 0.00 μB/atom
Formation energy without anion corrections = -1080.3 meV per atom

***

Record 3
## Pr8ZnSe6 (PBE-GGA)

Data for an optimized crystal structure of Pr8ZnSe6.

Cell lengths 10.991, 10.991, 4.272 Å; angles 90.00, 90.00, 120.00 degrees
Fractional positions:
Pr1 0.036 0.711 0.250
Pr2 0.289 0.325 0.250
Pr3 0.325 0.036 0.750
Pr4 0.333 0.667 0.751
Pr5 0.667 0.333 0.249
Pr6 0.675 0.964 0.250
Pr7 0.711 0.675 0.750
Pr8 0.964 0.289 0.750
Zn1 0.000 0.000 0.500
Se1 0.131 0.484 0.251
Se2 0.353 0.869 0.251
Se3 0.484 0.353 0.749
Se4 0.516 0.647 0.251
Se5 0.647 0.131 0.749
Se6 0.869 0.516 0.749

SG = P-3 (147)
Uncorrected energy = -79.953 eV for the cell shown
Size of the total moment = 0.00 μB/atom
Formation energy without anion corrections = -1302.4 meV per atom

***

Record 4
## Pr2ZrSe5 (PBE-GGA)

Data for an optimized crystal structure of Pr2ZrSe5.

Cell lengths 12.280, 8.406, 7.790 Å; angles 90.00, 90.00, 90.00 degrees
Fractional positions:
Pr1 0.177 0.003 0.035
Pr2 0.177 0.497 0.035
Pr3 0.323 0.503 0.535
Pr4 0.323 0.997 0.535
Pr5 0.677 0.003 0.465
Pr6 0.677 0.497 0.465
Pr7 0.823 0.503 0.965
Pr8 0.823 0.997 0.965
Zr1 0.008 0.750 0.578
Zr2 0.492 0.250 0.078
Zr3 0.508 0.750 0.922
Zr4 0.992 0.250 0.422
Se1 0.005 0.750 0.945
Se2 0.086 0.038 0.666
Se3 0.086 0.462 0.666
Se4 0.183 0.750 0.341
Se5 0.207 0.250 0.321
Se6 0.293 0.750 0.821
Se7 0.317 0.250 0.841
Se8 0.414 0.538 0.166
Se9 0.414 0.962 0.166
Se10 0.495 0.250 0.445
Se11 0.505 0.750 0.555
Se12 0.586 0.038 0.834
Se13 0.586 0.462 0.834
Se14 0.683 0.750 0.159
Se15 0.707 0.250 0.179
Se16 0.793 0.750 0.679
Se17 0.817 0.250 0.659
Se18 0.914 0.538 0.334
Se19 0.914 0.962 0.334
Se20 0.995 0.250 0.055

SG = Pnma (62)
Energy above the most stable polymorph in this dataset = 0 meV per atom
Uncorrected energy = -196.533 eV for the cell shown
Size of the total moment = 0.00 μB/atom
Formation energy without anion corrections = -1700.4 meV per atom

***

Record 5
## PrZrSe3 (PBE-GGA)

Data for an optimized crystal structure of PrZrSe3.

Cell lengths 8.622, 3.967, 14.286 Å; angles 90.00, 90.00, 90.00 degrees
Fractional positions:
Pr1 0.083 0.250 0.172
Pr2 0.417 0.750 0.672
Pr3 0.583 0.250 0.328
Pr4 0.917 0.750 0.828
Zr1 0.150 0.750 0.453
Zr2 0.350 0.250 0.953
Zr3 0.650 0.750 0.047
Zr4 0.850 0.250 0.547
Se1 0.029 0.750 0.623
Se2 0.153 0.750 0.014
Se3 0.195 0.250 0.787
Se4 0.305 0.750 0.287
Se5 0.347 0.250 0.514
Se6 0.471 0.250 0.123
Se7 0.529 0.750 0.877
Se8 0.653 0.750 0.486
Se9 0.695 0.250 0.713
Se10 0.805 0.750 0.213
Se11 0.847 0.250 0.986
Se12 0.971 0.250 0.377

SG = Pnma (62)
Uncorrected energy = -126.417 eV for the cell shown
Size of the total moment = 0.00 μB/atom
Formation energy without anion corrections = -1564.6 meV per atom

***

Record 6
## Pr2ZrSe5 (PBE-GGA)

Data for an optimized crystal structure of Pr2ZrSe5.

Cell lengths 7.686, 7.686, 13.647 Å; angles 90.00, 90.00, 137.31 degrees
Fractional positions:
Pr1 0.146 0.854 0.564
Pr2 0.146 0.854 0.936
Pr3 0.854 0.146 0.064
Pr4 0.854 0.146 0.436
Zr1 0.187 0.813 0.250
Zr2 0.813 0.187 0.750
Se1 0.049 0.951 0.124
Se2 0.049 0.951 0.376
Se3 0.272 0.728 0.750
Se4 0.304 0.696 0.088
Se5 0.304 0.696 0.412
Se6 0.696 0.304 0.588
Se7 0.696 0.304 0.912
Se8 0.728 0.272 0.250
Se9 0.951 0.049 0.624
Se10 0.951 0.049 0.876

SG = Cmcm (63)
Energy above the most stable polymorph in this dataset = 133 meV per atom
Uncorrected energy = -96.140 eV for the cell shown
Size of the total moment = 0.00 μB/atom
Formation energy without anion corrections = -1567.5 meV per atom

***

Record 7
## Pr2Zr2Se7 (PBE-GGA)

Data for an optimized crystal structure of Pr2Zr2Se7.

Cell lengths 8.831, 8.831, 8.831 Å; angles 153.57, 68.37, 118.24 degrees
Fractional positions:
Pr1 0.225 0.000 0.225
Pr2 0.775 0.000 0.775
Zr1 0.304 0.804 0.500
Zr2 0.735 0.735 0.000
Se1 0.034 0.712 0.322
Se2 0.080 0.080 0.000
Se3 0.376 0.478 0.897
Se4 0.390 0.712 0.678
Se5 0.581 0.478 0.103
Se6 0.660 0.286 0.374
Se7 0.912 0.286 0.626

SG = Imm2 (44)
Uncorrected energy = -67.428 eV for the cell shown
Size of the total moment = 0.00 μB/atom
Formation energy without anion corrections = -1489.2 meV per atom

***

Record 8
## Pr3Si2 (PBE-GGA)

Data for an optimized crystal structure of Pr3Si2.

Cell lengths 7.848, 7.848, 4.373 Å; angles 90.00, 90.00, 90.00 degrees
Fractional positions:
Pr1 0.000 0.000 0.000
Pr2 0.177 0.323 0.500
Pr3 0.323 0.823 0.500
Pr4 0.500 0.500 0.000
Pr5 0.677 0.177 0.500
Pr6 0.823 0.677 0.500
Si1 0.110 0.610 0.000
Si2 0.390 0.110 0.000
Si3 0.610 0.890 0.000
Si4 0.890 0.390 0.000

SG = P4/mbm (127)
Energy above the most stable polymorph in this dataset = 0 meV per atom
Uncorrected energy = -56.505 eV for the cell shown
Size of the total moment = 0.00 μB/atom
Formation energy without anion corrections = -613.6 meV per atom

***

Record 9
## Pr5Si4 (PBE-GGA)

Data for an optimized crystal structure of Pr5Si4.

Cell lengths 6.008, 6.008, 10.064 Å; angles 110.39, 110.39, 43.79 degrees
Fractional positions:
Pr1 0.000 0.000 0.000
Pr2 0.105 0.105 0.393
Pr3 0.247 0.247 0.832
Pr4 0.753 0.753 0.168
Pr5 0.895 0.895 0.607
Si1 0.392 0.392 0.392
Si2 0.452 0.452 0.178
Si3 0.548 0.548 0.822
Si4 0.608 0.608 0.608

SG = C2/m (12)
Energy above the most stable polymorph in this dataset = 8 meV per atom
Uncorrected energy = -51.548 eV for the cell shown
Size of the total moment = 0.00 μB/atom
Formation energy without anion corrections = -662.0 meV per atom

***

Record 10
## Pr3Si2 (PBE-GGA)

Data for an optimized crystal structure of Pr3Si2.

Cell lengths 6.074, 6.074, 6.074 Å; angles 136.67, 114.86, 81.50 degrees
Fractional positions:
Pr1 0.000 0.000 0.000
Pr2 0.296 0.796 0.500
Pr3 0.704 0.204 0.500
Si1 0.312 0.500 0.812
Si2 0.688 0.500 0.188

SG = Immm (71)
Energy above the most stable polymorph in this dataset = 35 meV per atom
Uncorrected energy = -28.077 eV for the cell shown
Size of the total moment = 0.00 μB/atom
Formation energy without anion corrections = -578.4 meV per atom

***

Record 11
## Pr2Si3 (PBE-GGA)

Data for an optimized crystal structure of Pr2Si3.

Cell lengths 12.734, 12.734, 4.043 Å; angles 90.00, 90.00, 160.08 degrees
Fractional positions:
Pr1 0.069 0.931 0.750
Pr2 0.202 0.798 0.250
Pr3 0.798 0.202 0.750
Pr4 0.931 0.069 0.250
Si1 0.326 0.674 0.250
Si2 0.382 0.618 0.750
Si3 0.476 0.524 0.750
Si4 0.524 0.476 0.250
Si5 0.618 0.382 0.250
Si6 0.674 0.326 0.750

SG = Cmcm (63)
Energy above the most stable polymorph in this dataset = 0 meV per atom
Uncorrected energy = -58.380 eV for the cell shown
Size of the total moment = 0.00 μB/atom
Formation energy without anion corrections = -672.4 meV per atom

***

Record 12
## Pr2Si3 (PBE-GGA)

Data for an optimized crystal structure of Pr2Si3.

Cell lengths 7.710, 7.710, 7.710 Å; angles 150.16, 148.05, 44.28 degrees
Fractional positions:
Pr1 0.000 0.000 0.000
Pr2 0.753 0.253 0.500
Si1 0.164 0.664 0.500
Si2 0.329 0.829 0.500
Si3 0.424 0.424 0.000

SG = Imm2 (44)
Energy above the most stable polymorph in this dataset = 61 meV per atom
Uncorrected energy = -28.884 eV for the cell shown
Size of the total moment = 0.00 μB/atom
Formation energy without anion corrections = -611.2 meV per atom

***

Record 13
## PrSi6 (PBE-GGA)

Data for an optimized crystal structure of PrSi6.

Cell lengths 5.769, 5.769, 5.769 Å; angles 109.47, 109.47, 109.47 degrees
Fractional positions:
Pr1 0.000 0.000 0.000
Si1 0.250 0.500 0.750
Si2 0.250 0.750 0.500
Si3 0.500 0.250 0.750
Si4 0.500 0.750 0.250
Si5 0.750 0.250 0.500
Si6 0.750 0.500 0.250

SG = Im-3m (229)
Uncorrected energy = -36.667 eV for the cell shown
Size of the total moment = 0.00 μB/atom
Formation energy without anion corrections = 92.9 meV per atom

***

Record 14
## Pr3Si4 (PBE-GGA)

Data for an optimized crystal structure of Pr3Si4.

Cell lengths 9.507, 9.507, 9.507 Å; angles 155.86, 152.69, 36.76 degrees
Fractional positions:
Pr1 0.000 0.000 0.000
Pr2 0.182 0.682 0.500
Pr3 0.818 0.318 0.500
Si1 0.355 0.855 0.500
Si2 0.434 0.434 0.000
Si3 0.566 0.566 0.000
Si4 0.645 0.145 0.500

SG = Immm (71)
Uncorrected energy = -41.036 eV for the cell shown
Size of the total moment = 0.00 μB/atom
Formation energy without anion corrections = -715.0 meV per atom

***

Record 15
## Pr5Si4 (PBE-GGA)

Data for an optimized crystal structure of Pr5Si4.

Cell lengths 7.946, 7.946, 15.303 Å; angles 90.00, 90.00, 90.00 degrees
Fractional positions:
Pr1 0.011 0.378 0.052
Pr2 0.020 0.874 0.124
Pr3 0.122 0.511 0.302
Pr4 0.126 0.980 0.376
Pr5 0.191 0.809 0.750
Pr6 0.309 0.309 0.500
Pr7 0.374 0.480 0.874
Pr8 0.378 0.011 0.948
Pr9 0.480 0.374 0.126
Pr10 0.489 0.878 0.198
Pr11 0.511 0.122 0.698
Pr12 0.520 0.626 0.626
Pr13 0.622 0.989 0.448
Pr14 0.626 0.520 0.374
Pr15 0.691 0.691 0.000
Pr16 0.809 0.191 0.250
Pr17 0.874 0.020 0.876
Pr18 0.878 0.489 0.802
Pr19 0.980 0.126 0.624
Pr20 0.989 0.622 0.552
Si1 0.078 0.712 0.940
Si2 0.169 0.195 0.797
Si3 0.195 0.169 0.203
Si4 0.212 0.422 0.690
Si5 0.288 0.922 0.560
Si6 0.305 0.669 0.047
Si7 0.331 0.695 0.453
Si8 0.422 0.212 0.310
Si9 0.578 0.788 0.810
Si10 0.669 0.305 0.953
Si11 0.695 0.331 0.547
Si12 0.712 0.078 0.060
Si13 0.788 0.578 0.190
Si14 0.805 0.831 0.703
Si15 0.831 0.805 0.297
Si16 0.922 0.288 0.440

SG = P4_12_12 (92)
Energy above the most stable polymorph in this dataset = 0 meV per atom
Uncorrected energy = -206.468 eV for the cell shown
Size of the total moment = 0.00 μB/atom
Formation energy without anion corrections = -669.7 meV per atom

***

Record 16
## PrSi (PBE-GGA)

Data for an optimized crystal structure of PrSi.

Cell lengths 11.627, 11.627, 11.627 Å; angles 159.21, 159.21, 29.56 degrees
Fractional positions:
Pr1 0.071 0.321 0.750
Pr2 0.321 0.071 0.250
Pr3 0.679 0.929 0.750
Pr4 0.929 0.679 0.250
Si1 0.216 0.466 0.750
Si2 0.466 0.216 0.250
Si3 0.534 0.784 0.750
Si4 0.784 0.534 0.250

SG = I4_1/amd (141)
Uncorrected energy = -46.371 eV for the cell shown
Size of the total moment = 0.12 μB/atom
Formation energy without anion corrections = -695.2 meV per atom

***

Record 17
## PrSi4 (PBE-GGA)

Data for an optimized crystal structure of PrSi4.

Cell lengths 5.391, 5.391, 5.391 Å; angles 90.00, 90.00, 90.00 degrees
Fractional positions:
Pr1 0.000 0.000 0.000
Si1 0.000 0.000 0.500
Si2 0.000 0.500 0.000
Si3 0.500 0.000 0.000
Si4 0.500 0.500 0.500

SG = Pm-3m (221)
Uncorrected energy = -18.355 eV for the cell shown
Size of the total moment = 0.00 μB/atom
Formation energy without anion corrections = 1623.2 meV per atom

***

Record 18
## Pr2SmSi (PBE-GGA)

Data for an optimized crystal structure of Pr2SmSi.

Cell lengths 4.779, 4.779, 4.821 Å; angles 90.00, 90.00, 90.00 degrees
Fractional positions:
Pr1 0.000 0.500 0.000
Pr2 0.500 0.000 0.000
Sm1 0.000 0.000 0.500
Si1 0.500 0.500 0.500

SG = P4/mmm (123)
Energy above the most stable polymorph in this dataset = 0 meV per atom
Uncorrected energy = -20.674 eV for the cell shown
Size of the total moment = 0.00 μB/atom
Formation energy without anion corrections = -243.1 meV per atom

***

Record 19
## Pr2SmSi6 (PBE-GGA)

Data for an optimized crystal structure of Pr2SmSi6.

Cell lengths 7.174, 7.174, 4.175 Å; angles 90.00, 90.00, 120.00 degrees
Fractional positions:
Pr1 0.333 0.667 0.000
Pr2 0.667 0.333 0.000
Sm1 0.000 0.000 0.000
Si1 0.000 0.332 0.500
Si2 0.000 0.668 0.500
Si3 0.332 0.000 0.500
Si4 0.332 0.332 0.500
Si5 0.668 0.000 0.500
Si6 0.668 0.668 0.500

SG = P6/mmm (191)
Uncorrected energy = -51.951 eV for the cell shown
Size of the total moment = 0.00 μB/atom
Formation energy without anion corrections = -570.6 meV per atom

***

Record 20
## Pr5SmSi4 (PBE-GGA)

Data for an optimized crystal structure of Pr5SmSi4.

Cell lengths 8.285, 8.285, 7.019 Å; angles 90.51, 90.51, 36.18 degrees
Fractional positions:
Pr1 0.000 0.000 0.000
Pr2 0.334 0.334 0.491
Pr3 0.336 0.336 0.004
Pr4 0.664 0.664 0.996
Pr5 0.666 0.666 0.509
Sm1 0.000 0.000 0.500
Si1 0.176 0.176 0.750
Si2 0.491 0.491 0.743
Si3 0.509 0.509 0.257
Si4 0.824 0.824 0.250

SG = C2/m (12)
Uncorrected energy = -55.044 eV for the cell shown
Size of the total moment = 0.00 μB/atom
Formation energy without anion corrections = -473.6 meV per atom